1.
First-principles (meta-GGA SCAN) data for a PBEsol-optimized structure of CaMnIn, as listed in the Alexandria database.

Cell: 3.4913 3.4913 11.1753 Å, 90.00 90.00 90.00°
Space group I4mm (No. 107)
Asymmetric unit:
Ca 0.0000 0.0000 0.0000 (multiplicity 2)
Mn 0.0000 0.0000 0.3118 (multiplicity 2)
In 0.0000 0.0000 0.6964 (multiplicity 2)

M_tot: 8.08 μB per cell
electronic total energy: -123.57 eV for the cell shown
D(E_F): 0.610 states/eV/atom

***

2.
First-principles (meta-GGA SCAN) data for a PBEsol-optimized structure of CaMnIn2, as listed in the Alexandria database.

Cell: 3.3128 4.3325 13.3883 Å, 90.00 90.00 90.00°
Space group Imm2 (No. 44)
Asymmetric unit:
Ca 0.0000 0.0000 0.0000 (multiplicity 2)
Mn 0.0000 0.5000 0.2975 (multiplicity 2)
In 0.0000 0.0000 0.6306 (multiplicity 2)
In 0.0000 0.5000 0.7962 (multiplicity 2)

M_tot: 7.30 μB per cell
electronic total energy: -190.33 eV for the cell shown
D(E_F): 0.527 states/eV/atom

***

Copy entry 2 word for word.
First-principles (meta-GGA SCAN) data for a PBEsol-optimized structure of CaMnIn2, as listed in the Alexandria database.

Cell: 3.3128 4.3325 13.3883 Å, 90.00 90.00 90.00°
Space group Imm2 (No. 44)
Asymmetric unit:
Ca 0.0000 0.0000 0.0000 (multiplicity 2)
Mn 0.0000 0.5000 0.2975 (multiplicity 2)
In 0.0000 0.0000 0.6306 (multiplicity 2)
In 0.0000 0.5000 0.7962 (multiplicity 2)

M_tot: 7.30 μB per cell
electronic total energy: -190.33 eV for the cell shown
D(E_F): 0.527 states/eV/atom

***

Repeat the first record exactly.
First-principles (meta-GGA SCAN) data for a PBEsol-optimized structure of CaMnIn, as listed in the Alexandria database.

Cell: 3.4913 3.4913 11.1753 Å, 90.00 90.00 90.00°
Space group I4mm (No. 107)
Asymmetric unit:
Ca 0.0000 0.0000 0.0000 (multiplicity 2)
Mn 0.0000 0.0000 0.3118 (multiplicity 2)
In 0.0000 0.0000 0.6964 (multiplicity 2)

M_tot: 8.08 μB per cell
electronic total energy: -123.57 eV for the cell shown
D(E_F): 0.610 states/eV/atom

***

Which of these has the highest M_tot?
CaMnIn